Entry 1:
LaMn2 after structural relaxation. Source: Alexandria via LeMat-Bulk, functional PBE-GGA.

a = 10.5978 Å, b = 10.5978 Å, c = 3.8381 Å
α = 90.00°, β = 90.00°, γ = 163.53°
Last column: magnetic moment on the atom in μB.
Sites, in units of the cell vectors:
La 0.6763 0.3237 0.7500  -0.02
Mn 0.4423 0.5577 0.7500  2.78
Mn 0.9587 0.0413 0.2500  -2.33
La 0.3237 0.6763 0.2500  -0.02
Mn 0.0413 0.9587 0.7500  -2.33
Mn 0.5577 0.4423 0.2500  2.78

Symmetry: Cmcm
E_tot: -0.5447 Ry/atom
Total magnetization: 0.42 μB per formula unit
DFT formation energy: 0.344 eV per atom
Mass density: 6.76 Mg/m³

Entry 2:
K2RuPb after structural relaxation. Source: Alexandria via LeMat-Bulk, functional PBE-GGA.

a = 6.4811 Å, b = 6.4811 Å, c = 6.4811 Å
α = 141.51°, β = 141.51°, γ = 55.56°
Last column: magnetic moment on the atom in μB.
Sites, in units of the cell vectors:
Ru 0.7500 0.2500 0.5000  0.41
K 0.0000 0.0000 0.0000  0.00
K 0.5000 0.5000 0.0000  0.00
Pb 0.2500 0.7500 0.5000  0.00

Symmetry: I4/mmm
E_tot: -0.2241 Ry/atom
Total magnetization: 0.42 μB per formula unit
DFT formation energy: 0.745 eV per atom
Mass density: 6.13 Mg/m³

Entry 3:
MgCdIn5 after structural relaxation. Source: Alexandria via LeMat-Bulk, functional PBE-GGA.

a = 4.5535 Å, b = 4.5535 Å, c = 9.0287 Å
α = 90.00°, β = 90.00°, γ = 90.00°
Sites, in units of the cell vectors:
In 0.0000 0.5000 0.2676
In 0.5000 0.0000 0.2676
In 0.0000 0.5000 0.7324
Cd 0.0000 0.0000 0.5000
Mg 0.0000 0.0000 0.0000
In 0.5000 0.0000 0.7324
In 0.5000 0.5000 0.0000

Symmetry: P4/mmm
E_tot: -0.1686 Ry/atom
Total magnetization: 0.00 μB per formula unit
DFT formation energy: 0.021 eV per atom
Mass density: 6.31 Mg/m³

Entry 4:
Li2VPd4 after structural relaxation. Source: Alexandria via LeMat-Bulk, functional PBE-GGA.

a = 4.5908 Å, b = 4.5908 Å, c = 7.1891 Å
α = 71.38°, β = 71.38°, γ = 90.00°
Sites, in units of the cell vectors:
Pd 0.5000 0.0000 0.0000
Pd 0.1797 0.1797 0.6405
Pd 0.0000 0.5000 0.0000
Pd 0.8203 0.8203 0.3595
Li 0.3804 0.3804 0.2391
Li 0.6196 0.6196 0.7609
V 0.0000 0.0000 0.0000

Symmetry: I4/mmm
E_tot: -0.3308 Ry/atom
Energy relative to the lowest polymorph listed for this composition: 580 meV per atom
Total magnetization: 0.00 μB per formula unit
DFT formation energy: 0.317 eV per atom
Mass density: 6.02 Mg/m³

- Which formula does entry 2 have?
  K2RuPb